Tb5Pm2DyTh (GGA-PBE, relaxed); volume = 303.9 Å³/f.u.; ΔE_f = 0.159 eV/atom
1.0
-1.3353 -0.8132 5.5226
10.5717 -3.4754 -0.9381
3.1607 9.0484 2.0966
Tb Pm Dy Th
10 4 2 2
Direct
0.3975 0.7950 0.0419
0.7291 0.4582 0.8267
0.4699 0.9398 0.7424
0.3051 0.6102 0.7160
0.9853 0.9706 0.5158
0.6025 0.2050 0.5419
0.2709 0.5418 0.3267
0.5301 0.0602 0.2424
0.6949 0.3898 0.2160
0.0147 0.0294 0.0158
0.8850 0.7701 0.8279
0.1296 0.2591 0.7112
0.1150 0.2299 0.3279
0.8704 0.7409 0.2112
0.8096 0.6191 0.5168
0.1904 0.3809 0.0168
0.5952 0.1905 0.9253
0.4048 0.8095 0.4253